# 1
# RbLa2Pu3Te6 (PBE-GGA, optimized geometry)
# Total magnetization (Bohr magnetons per cell): 35.67
# Formation energy from raw total energies (eV per atom): -1.24
data_RbLa2Pu3Te6
_chemical_formula_sum 'Rb2 La4 Pu6 Te12'
_cell_length_a 20.007
_cell_length_b 4.526
_cell_length_c 9.309
_cell_angle_alpha 90.00
_cell_angle_beta 103.65
_cell_angle_gamma 90.00
_symmetry_space_group_name_H-M 'C 1 2/m 1'
_symmetry_Int_Tables_number 12
_symmetry_space_group_name_Hall '-C 2y'
loop_
_atom_site_label
_atom_site_type_symbol
_atom_site_fract_x
_atom_site_fract_y
_atom_site_fract_z
Rb1 Rb 0.000 0.000 0.000
La1 La 0.168 0.500 0.336
Pu1 Pu 0.000 0.000 0.500
Pu2 Pu 0.163 0.500 0.832
Te1 Te 0.000 0.500 0.273
Te2 Te 0.164 0.000 0.589
Te3 Te 0.175 0.000 0.083

***

# 2
# LaPu2Re (PBE-GGA, optimized geometry)
# Total magnetization (Bohr magnetons per cell): 10.27
# Calculated formation energy (eV per atom): 0.214
data_LaPu2Re
_chemical_formula_sum 'La1 Pu2 Re1'
_cell_length_a 3.304
_cell_length_b 3.304
_cell_length_c 9.156
_cell_angle_alpha 90.00
_cell_angle_beta 90.00
_cell_angle_gamma 90.00
_symmetry_space_group_name_H-M 'P 4/m m m'
_symmetry_Int_Tables_number 123
_symmetry_space_group_name_Hall '-P 4 2'
loop_
_atom_site_label
_atom_site_type_symbol
_atom_site_fract_x
_atom_site_fract_y
_atom_site_fract_z
La1 La 0.000 0.000 0.000
Pu1 Pu 0.500 0.500 0.308
Re1 Re 0.000 0.000 0.500

***

# 3
# LaPu2Rh2 (PBE-GGA, optimized geometry)
# Total magnetization (Bohr magnetons per cell): 21.91
# Calculated formation energy (eV per atom): -0.373
data_LaPu2Rh2
_chemical_formula_sum 'La2 Pu4 Rh4'
_cell_length_a 6.126
_cell_length_b 6.943
_cell_length_c 7.593
_cell_angle_alpha 65.12
_cell_angle_beta 66.31
_cell_angle_gamma 63.84
_symmetry_space_group_name_H-M 'P -1'
_symmetry_Int_Tables_number 2
_symmetry_space_group_name_Hall '-P 1'
loop_
_atom_site_label
_atom_site_type_symbol
_atom_site_fract_x
_atom_site_fract_y
_atom_site_fract_z
La1 La 0.135 0.250 0.251
Pu1 Pu 0.195 0.123 0.776
Pu2 Pu 0.407 0.624 0.275
Rh1 Rh 0.246 0.668 0.968
Rh2 Rh 0.383 0.831 0.533

***

# 4
# LaPu2Rh (PBE-GGA, optimized geometry)
# Total magnetization (Bohr magnetons per cell): 33.18
# Calculated formation energy (eV per atom): 0.067
# Polymorph energy (0 for the lowest one) (kJ per mole of atoms): 20.8
data_LaPu2Rh
_chemical_formula_sum 'La3 Pu6 Rh3'
_cell_length_a 3.6361
_cell_length_b 3.6361
_cell_length_c 29.2979
_cell_angle_alpha 90.00
_cell_angle_beta 90.00
_cell_angle_gamma 120.00
_symmetry_space_group_name_H-M 'R -3 m'
_symmetry_Int_Tables_number 166
_symmetry_space_group_name_Hall '-R 3 2"'
loop_
_atom_site_label
_atom_site_type_symbol
_atom_site_fract_x
_atom_site_fract_y
_atom_site_fract_z
La1 La 0.0000 0.0000 0.0000
Pu1 Pu 0.0000 0.0000 0.1046
Rh1 Rh 0.0000 0.0000 0.5000

***

# 5
# La2PuRh3 (PBE-GGA, optimized geometry)
# Total magnetization (Bohr magnetons per cell): 19.35
# Calculated formation energy (eV per atom): -0.539
data_La2PuRh3
_chemical_formula_sum 'La8 Pu4 Rh12'
_cell_length_a 12.552
_cell_length_b 5.766
_cell_length_c 8.494
_cell_angle_alpha 90.00
_cell_angle_beta 109.79
_cell_angle_gamma 90.00
_symmetry_space_group_name_H-M 'C 1 2/c 1'
_symmetry_Int_Tables_number 15
_symmetry_space_group_name_Hall '-C 2yc'
loop_
_atom_site_label
_atom_site_type_symbol
_atom_site_fract_x
_atom_site_fract_y
_atom_site_fract_z
La1 La 0.168 0.000 0.084
Pu1 Pu 0.000 0.500 0.250
Rh1 Rh 0.000 0.001 0.250
Rh2 Rh 0.142 0.500 0.071

***

# 6
# LaPu2Rh (PBE-GGA, optimized geometry)
# Total magnetization (Bohr magnetons per cell): 11.17
# Calculated formation energy (eV per atom): -0.149
# Polymorph energy (0 for the lowest one) (kJ per mole of atoms): 0.0
data_LaPu2Rh
_chemical_formula_sum 'La1 Pu2 Rh1'
_cell_length_a 3.598
_cell_length_b 3.598
_cell_length_c 7.708
_cell_angle_alpha 90.00
_cell_angle_beta 90.00
_cell_angle_gamma 90.00
_symmetry_space_group_name_H-M 'P 4/m m m'
_symmetry_Int_Tables_number 123
_symmetry_space_group_name_Hall '-P 4 2'
loop_
_atom_site_label
_atom_site_type_symbol
_atom_site_fract_x
_atom_site_fract_y
_atom_site_fract_z
La1 La 0.000 0.000 0.000
Pu1 Pu 0.500 0.500 0.303
Rh1 Rh 0.000 0.000 0.500